[1]
{"formula": "ErSc5Ga2", "functional": "PBE", "state": "optimized geometry", "lattice": [[4.2452, 0.0000, 0.0000], [2.1226, 6.6904, -0.4967], [2.1226, 1.5392, 6.5299]], "species": ["Ga", "Sc", "Sc", "Er", "Ga", "Sc", "Sc", "Sc"], "fractional_positions": [[0.7202, 0.7798, 0.7798], [0.3431, 0.4706, 0.8432], [0.3431, 0.8432, 0.4706], [0.0000, 0.0000, 0.0000], [0.2798, 0.2202, 0.2202], [0.6569, 0.5294, 0.1568], [0.6569, 0.1568, 0.5294], [0.0000, 0.5000, 0.5000]], "dft_energy_ev_per_atom": -5.523, "e_form_ev_per_atom": -0.239, "mass_density_g_cm3": 4.677}



[2]
{"formula": "YBiPt2", "functional": "PBE", "state": "optimized geometry", "lattice": [[-0.6221, 4.6372, 2.1267], [-2.4245, 1.6163, -4.2335], [-8.7180, 0.6974, 2.1394]], "species": ["Bi", "Pt", "Pt", "Y", "Y", "Bi", "Pt", "Pt"], "fractional_positions": [[0.7500, 0.2500, 0.5000], [0.3750, 0.3468, 0.7500], [0.6532, 0.1250, 0.2500], [0.5000, 0.5000, 0.0000], [0.2500, 0.7500, 0.5000], [0.0000, 0.0000, 0.0000], [0.8750, 0.9032, 0.7500], [0.0968, 0.6250, 0.2500]], "dft_energy_ev_per_atom": -5.936, "e_form_ev_per_atom": -0.330, "mass_density_g_cm3": 10.502}



[3]
{"formula": "Co3Ge4", "functional": "PBE", "state": "optimized geometry", "lattice": [[-2.4903, -2.2202, -1.5899], [2.6298, -3.8552, 1.2644], [-2.1479, 1.6740, 5.3223]], "species": ["Ge", "Co", "Co", "Co", "Ge", "Ge", "Ge"], "fractional_positions": [[0.4364, 0.6877, 0.8727], [0.2045, 0.3326, 0.4091], [0.0000, 0.0000, 0.0000], [0.7955, 0.6674, 0.5909], [0.8214, 0.1800, 0.6428], [0.5636, 0.3123, 0.1273], [0.1786, 0.8200, 0.3572]], "dft_energy_ev_per_atom": -5.840, "e_form_ev_per_atom": -0.157, "mass_density_g_cm3": 7.789, "de_polymorph_kj_per_mol_atoms": 0.0}



[4]
{"formula": "Ni3OsBr", "functional": "PBE", "state": "optimized geometry", "lattice": [[4.5768, 0.0000, 0.0000], [0.0000, 4.5768, 0.0000], [0.0000, 0.0000, 4.5768]], "species": ["Ni", "Ni", "Br", "Ni", "Os"], "fractional_positions": [[0.0000, 0.5000, 0.0000], [0.0000, 0.0000, 0.5000], [0.5000, 0.5000, 0.5000], [0.5000, 0.0000, 0.0000], [0.0000, 0.0000, 0.0000]], "dft_energy_ev_per_atom": -4.704, "mass_density_g_cm3": 7.729, "de_polymorph_kj_per_mol_atoms": 0.0}



[5]
{"formula": "KAgGe", "functional": "PBE", "state": "optimized geometry", "lattice": [[4.8382, 0.0000, 0.0000], [-2.4191, 5.5890, -1.0177], [0.0000, -4.2108, 6.5138]], "species": ["K", "Ge", "Ge", "Ag", "K", "Ag"], "fractional_positions": [[0.8803, 0.7606, 0.7523], [0.0340, 0.0680, 0.3305], [0.5347, 0.0695, 0.1548], [0.7137, 0.4273, 0.0397], [0.3799, 0.7598, 0.4245], [0.2140, 0.4281, 0.8048]], "dft_energy_ev_per_atom": -2.871, "e_form_ev_per_atom": -0.016, "mass_density_g_cm3": 4.693, "de_polymorph_kj_per_mol_atoms": 8.3}



[6]
{"formula": "Dy5TmRu3", "functional": "PBE", "state": "optimized geometry", "lattice": [[-6.4059, -2.3818, 3.3212], [-0.6566, -7.4276, -1.4622], [2.4792, -4.9435, 8.1945]], "species": ["Ru", "Tm", "Ru", "Dy", "Dy", "Dy", "Dy", "Dy", "Dy", "Ru", "Dy", "Ru", "Dy", "Tm", "Ru", "Dy", "Dy", "Ru"], "fractional_positions": [[0.6703, 0.6703, 0.3360], [0.9029, 0.9029, 0.2978], [0.0000, 0.0000, 0.0000], [0.9701, 0.3675, 0.3362], [0.6325, 0.0299, 0.6637], [0.4375, 0.4375, 0.3649], [0.7669, 0.7669, 0.0350], [0.5625, 0.5625, 0.6351], [0.0299, 0.6325, 0.6637], [0.3343, 0.3343, 0.1661], [0.3000, 0.7000, 0.0000], [0.6657, 0.6657, 0.8339], [0.2331, 0.2331, 0.9650], [0.0971, 0.0971, 0.7022], [0.0000, 0.0000, 0.5000], [0.7000, 0.3000, 0.0000], [0.3675, 0.9701, 0.3362], [0.3297, 0.3297, 0.6640]], "dft_energy_ev_per_atom": -6.368, "e_form_ev_per_atom": -0.222, "mass_density_g_cm3": 8.466}



[7]
{"formula": "SnAsPd3", "functional": "PBE", "state": "optimized geometry", "lattice": [[-3.9672, -1.6927, -2.3424], [1.9091, -4.5216, 0.0343], [-2.1697, -0.8834, 4.3131]], "species": ["Sn", "Pd", "As", "Pd", "Pd"], "fractional_positions": [[0.0000, 0.0000, 0.0000], [0.0000, 0.5000, 0.0000], [0.5000, 0.5000, 0.5000], [0.5000, 0.0000, 0.0000], [0.0000, 0.0000, 0.5000]], "dft_energy_ev_per_atom": -4.253, "e_form_ev_per_atom": 0.593, "mass_density_g_cm3": 7.203, "de_polymorph_kj_per_mol_atoms": 95.1}



[8]
{"formula": "CsRhPb2", "functional": "PBE", "state": "optimized geometry", "lattice": [[4.5937, 0.0000, 0.0000], [2.2968, 3.9782, 0.0000], [2.2968, 1.3261, 7.4931]], "species": ["Pb", "Cs", "Rh", "Pb"], "fractional_positions": [[0.2905, 0.2905, 0.1285], [0.5000, 0.5000, 0.5000], [0.0000, 0.0000, 0.0000], [0.7095, 0.7095, 0.8715]], "dft_energy_ev_per_atom": -3.961, "e_form_ev_per_atom": -0.056, "mass_density_g_cm3": 7.885, "de_polymorph_kj_per_mol_atoms": 0.0}



[9]
{"formula": "Ac4Ir2N", "functional": "PBE", "state": "optimized geometry", "lattice": [[4.2987, 0.0000, 0.9023], [1.7320, 9.3703, 2.4392], [-0.1432, 0.7447, 11.3729]], "species": ["N", "Ac", "Ir", "Ir", "Ac", "N", "Ir", "Ir", "Ac", "Ac", "Ac", "Ac", "Ac", "Ac"], "fractional_positions": [[0.1852, 0.8866, 0.7431], [0.9385, 0.8673, 0.2556], [0.6043, 0.2279, 0.5634], [0.8187, 0.5432, 0.8194], [0.5788, 0.5082, 0.3342], [0.8148, 0.1134, 0.2569], [0.1813, 0.4568, 0.1806], [0.3957, 0.7721, 0.4366], [0.0615, 0.1327, 0.7444], [0.7593, 0.8498, 0.6316], [0.4212, 0.4918, 0.6658], [0.1885, 0.6894, 0.9336], [0.2407, 0.1502, 0.3684], [0.8115, 0.3106, 0.0664]], "dft_energy_ev_per_atom": -6.717, "mass_density_g_cm3": 9.585, "de_polymorph_kj_per_mol_atoms": 0.0}